[1]
Crystalline Na2AgGeTe4 at its relaxed geometry, computed with PBE-GGA.

Computed properties:
Symmetry: No. 1
DFT total energy in eV per cell: -25.41
Energy relative to the elements, uncorrected in eV per atom: -0.34

abc: 8.050 8.047 6.952
angles: 125.37 125.40 89.99
Atoms (fractional coordinates):
Na 0.236 0.235 0.472
Na 0.487 0.987 0.974
Te 0.346 0.729 0.107
Te 0.093 0.125 0.836
Te 0.740 0.709 0.832
Te 0.763 0.380 0.111
Ge 0.736 0.736 0.471
Ag 0.986 0.486 0.972

***

[2]
Crystalline Tl2Cu2Bi at its relaxed geometry, computed with PBE-GGA.

Computed properties:
Symmetry: No. 127
Energy relative to the elements in eV/atom: 0.398
Excess energy over the best structure of this formula in the dataset in meV/atom: 190
DFT total energy in eV per cell: -29.63

abc: 8.272 8.272 3.333
angles: 90.00 90.00 90.00
Atoms (fractional coordinates):
Tl 0.644 0.144 0.000
Tl 0.356 0.856 0.000
Tl 0.144 0.356 0.000
Tl 0.856 0.644 0.000
Bi 0.500 0.500 0.000
Bi 0.000 0.000 0.000
Cu 0.648 0.852 0.500
Cu 0.852 0.352 0.500
Cu 0.148 0.648 0.500
Cu 0.352 0.148 0.500

***

[3]
Crystalline MoIrPt at its relaxed geometry, computed with PBE-GGA.

Computed properties:
Symmetry: No. 156
Energy relative to the elements in eV/atom: -0.175
Excess energy over the best structure of this formula in the dataset in meV/atom: 128
DFT total energy in eV per cell: -26.26

abc: 2.773 2.773 6.874
angles: 90.00 90.00 120.00
Atoms (fractional coordinates):
Ir 0.000 0.000 0.012
Pt 0.333 0.667 0.661
Mo 0.667 0.333 0.328